1.
Material: Tb2BiAu
Method: DFT, PBE-GGA
State: relaxed

Cell: 4.1158 23.5657 4.6622 Å, 90.00 90.00 90.00°
Space group Cmcm (No. 63)
Asymmetric unit:
Tb: 0.0000 0.0588 0.2500 (multiplicity 4)
Tb: 0.0000 0.3281 0.2500 (multiplicity 4)
Bi: 0.0000 0.1920 0.2500 (multiplicity 4)
Au: 0.0000 0.4590 0.2500 (multiplicity 4)

**Crystal system**: orthorhombic

***

2.
Material: TbBi8Au2
Method: DFT, PBE-GGA
State: relaxed

Cell: 16.4339 9.0652 4.9073 Å, 90.00 99.99 90.00°
Space group C2/m (No. 12)
Asymmetric unit:
Tb: 0.0000 0.0000 0.0000 (multiplicity 2)
Bi: 0.0817 0.2927 0.7634 (multiplicity 8)
Bi: 0.1518 0.5000 0.3196 (multiplicity 4)
Bi: 0.2129 0.0000 0.1089 (multiplicity 4)
Au: 0.1123 0.0000 0.5364 (multiplicity 4)

**Crystal system**: monoclinic

***

3.
Material: Tb7Bi2Au2
Method: DFT, PBE-GGA
State: relaxed

Cell: 9.0785 11.0268 7.0099 Å, 90.00 90.00 90.00°
Space group Cmmm (No. 65)
Asymmetric unit:
Tb: 0.0000 0.0000 0.0000 (multiplicity 2)
Tb: 0.0000 0.5000 0.2397 (multiplicity 4)
Tb: 0.2500 0.2500 0.2518 (multiplicity 8)
Bi: 0.1942 0.0000 0.5000 (multiplicity 4)
Au: 0.0000 0.2781 0.0000 (multiplicity 4)

**Crystal system**: orthorhombic

***

Number 1: ΔE_f -3.1 eV per formula unit. Number 2: ΔE_f -0.2 eV per formula unit. Number 3: ΔE_f -4.4 eV per formula unit.